{"formula": "MgAg2", "functional": "PBE", "state": "relaxed", "lattice": [[-0.5953, 3.2429, 4.3635], [-4.1575, -0.8075, 3.4604], [0.9576, -1.9605, 5.0150]], "species": ["Ag", "Ag", "Ag", "Ag", "Mg", "Mg"], "fractional_positions": [[0.6250, 0.1250, 0.6250], [0.1250, 0.6250, 0.6250], [0.6250, 0.6250, 0.6250], [0.6250, 0.6250, 0.1250], [0.2500, 0.2500, 0.2500], [0.0000, 0.0000, 0.0000]], "final_energy_ev_per_atom": -2.48, "relative_energy_ev_per_atom": 0.0030}



{"formula": "LiPtNO", "functional": "PBE", "state": "relaxed", "lattice": [[-1.5846, 3.7270, -1.1615], [-1.8174, -1.8137, -3.3404], [-3.5206, -0.7697, 2.3334]], "species": ["O", "O", "Pt", "Pt", "Li", "Li", "N", "N"], "fractional_positions": [[0.0000, 0.5000, 0.0000], [0.5000, 0.0000, 0.0000], [0.5000, 0.0000, 0.5000], [0.0000, 0.5000, 0.5000], [0.5000, 0.5000, 0.9982], [0.0000, 0.0000, 0.0018], [0.5000, 0.5000, 0.4990], [0.0000, 0.0000, 0.5010]], "magnetic_moment_mub_per_fu": 0.0, "final_energy_ev_per_atom": -5.39, "relative_energy_ev_per_atom": 0.0013}



{"formula": "K2RbCu3As2", "functional": "PBE", "state": "relaxed", "lattice": [[2.9114, 1.6809, 6.8885], [-2.9114, 1.6809, 6.8885], [0.0000, -3.3618, 6.8885]], "species": ["K", "K", "Cu", "Cu", "Cu", "Rb", "As", "As"], "fractional_positions": [[0.9110, 0.9110, 0.9110], [0.0890, 0.0890, 0.0890], [0.5000, 0.5000, 0.0000], [0.5000, 0.0000, 0.5000], [0.0000, 0.5000, 0.5000], [0.5000, 0.5000, 0.5000], [0.2530, 0.2530, 0.2530], [0.7470, 0.7470, 0.7470]], "final_energy_ev_per_atom": -3.27}



{"formula": "HfTlCuTe2Se", "functional": "PBE", "state": "relaxed", "lattice": [[2.0066, -7.6781, 0.0000], [2.0066, 7.6781, 0.0000], [0.0000, 0.0000, 10.3167]], "species": ["Tl", "Tl", "Te", "Te", "Te", "Te", "Se", "Se", "Hf", "Hf", "Cu", "Cu"], "fractional_positions": [[0.2403, 0.7597, 0.7500], [0.7597, 0.2403, 0.2500], [0.1333, 0.8667, 0.0480], [0.1333, 0.8667, 0.4520], [0.8667, 0.1333, 0.5480], [0.8667, 0.1333, 0.9520], [0.5604, 0.4396, 0.7500], [0.4396, 0.5604, 0.2500], [0.5000, 0.5000, 0.5000], [0.5000, 0.5000, 0.0000], [0.0315, 0.9685, 0.2500], [0.9685, 0.0315, 0.7500]], "magnetic_moment_mub_per_fu": 0.0, "final_energy_ev_per_atom": -4.94}



{"formula": "TbPrAs", "functional": "PBE", "state": "relaxed", "lattice": [[0.0000, 3.4943, 3.4943], [3.4943, 0.0000, 3.4943], [3.4943, 3.4943, 0.0000]], "species": ["As", "Pr", "Tb"], "fractional_positions": [[0.0000, 0.0000, 0.0000], [0.2500, 0.2500, 0.2500], [0.7500, 0.7500, 0.7500]], "magnetic_moment_mub_per_fu": 0.0, "final_energy_ev_per_atom": -5.48}



{"formula": "NbTePd", "functional": "PBE", "state": "relaxed", "lattice": [[4.3799, -0.7823, 0.9259], [1.3684, -0.4358, 4.3117], [1.3001, -4.0610, 1.5719]], "species": ["Pd", "Nb", "Te"], "fractional_positions": [[0.2500, 0.2500, 0.2500], [0.0000, 0.0000, 0.0000], [0.7500, 0.7500, 0.7500]], "magnetic_moment_mub_per_fu": 0.5, "final_energy_ev_per_atom": -6.15, "relative_energy_ev_per_atom": 0.0000}